1.
Computed, not measured: an optimized crystal structure of Sb2TePdSe at the PBE level of DFT.

Properties
**Calculated volume**: 143.4 Å³ per cell
**Total moment**: 0.0 μB per cell
**Relative energy among the computed polymorphs**: 0.00 eV per formula unit
**E_form (uncorrected)**: 2.1 eV per formula unit
**Space group**: P4/mmm (123)
**Mass density**: 6.44 g/cm³

a = 5.201 Å, b = 5.201 Å, c = 5.302 Å
α = 90.00°, β = 90.00°, γ = 90.00°
Fractional coordinates of all 5 atoms:
Sb 0.000 0.500 0.000
Sb 0.500 0.000 0.000
Te 0.000 0.000 0.500
Pd 0.000 0.000 0.000
Se 0.500 0.500 0.500


2.
Computed, not measured: an optimized crystal structure of NaHfMg14O15 at the PBE level of DFT.

Properties
**Calculated volume**: 325.0 Å³ per cell
**Total moment**: 0.8 μB per cell
**Relative energy among the computed polymorphs**: 0.50 eV per formula unit
**E_form (uncorrected)**: -76.9 eV per formula unit
**Space group**: Pmm2 (25)
**Mass density**: 3.99 g/cm³

a = 4.328 Å, b = 8.710 Å, c = 8.621 Å
α = 90.00°, β = 90.00°, γ = 90.00°
Fractional coordinates of all 31 atoms:
Na 0.000 0.000 0.000
Hf 0.000 0.500 0.996
Mg 0.000 0.000 0.494
Mg 0.000 0.240 0.742
Mg 0.000 0.248 0.254
Mg 0.000 0.500 0.499
Mg 0.000 0.752 0.254
Mg 0.000 0.760 0.742
Mg 0.500 0.000 0.247
Mg 0.500 0.000 0.748
Mg 0.500 0.235 0.998
Mg 0.500 0.248 0.497
Mg 0.500 0.500 0.255
Mg 0.500 0.500 0.740
Mg 0.500 0.752 0.497
Mg 0.500 0.765 0.998
O 0.000 0.000 0.732
O 0.000 0.255 0.498
O 0.000 0.262 0.996
O 0.000 0.500 0.251
O 0.000 0.500 0.743
O 0.000 0.738 0.996
O 0.000 0.745 0.498
O 0.500 0.000 0.498
O 0.500 0.000 0.998
O 0.500 0.250 0.748
O 0.500 0.255 0.246
O 0.500 0.500 0.498
O 0.500 0.500 0.996
O 0.500 0.745 0.246
O 0.500 0.750 0.748


3.
Computed, not measured: an optimized crystal structure of Mn2SeN at the PBE level of DFT.

Properties
**Calculated volume**: 239.0 Å³ per cell
**Total moment**: 22.3 μB per cell
**Relative energy among the computed polymorphs**: 0.00 eV per formula unit
**E_form (uncorrected)**: -0.7 eV per formula unit
**Space group**: I-42d (122)
**Mass density**: 5.64 g/cm³

a = 4.753 Å, b = 4.753 Å, c = 10.576 Å
α = 90.00°, β = 90.00°, γ = 90.00°
Fractional coordinates of all 16 atoms:
Mn 0.139 0.250 0.125
Mn 0.250 0.639 0.375
Mn 0.250 0.861 0.875
Mn 0.361 0.250 0.625
Mn 0.639 0.750 0.625
Mn 0.750 0.139 0.875
Mn 0.750 0.361 0.375
Mn 0.861 0.750 0.125
Se 0.000 0.000 0.500
Se 0.000 0.500 0.750
Se 0.500 0.000 0.250
Se 0.500 0.500 0.000
N 0.000 0.000 0.000
N 0.000 0.500 0.250
N 0.500 0.000 0.750
N 0.500 0.500 0.500


4.
Computed, not measured: an optimized crystal structure of AgSCl4 at the PBE level of DFT.

Properties
**Calculated volume**: 407.4 Å³ per cell
**Total moment**: 1.1 μB per cell
**Relative energy among the computed polymorphs**: 0.30 eV per formula unit
**E_form (uncorrected)**: -0.8 eV per formula unit
**Space group**: Pmmm (47)
**Mass density**: 2.30 g/cm³

a = 7.050 Å, b = 7.060 Å, c = 8.185 Å
α = 90.00°, β = 90.00°, γ = 90.00°
Fractional coordinates of all 12 atoms:
Ag 0.000 0.000 0.000
Ag 0.500 0.000 0.500
S 0.000 0.000 0.500
S 0.000 0.500 0.000
Cl 0.231 0.235 0.500
Cl 0.231 0.765 0.500
Cl 0.235 0.271 0.000
Cl 0.235 0.729 0.000
Cl 0.765 0.271 0.000
Cl 0.765 0.729 0.000
Cl 0.769 0.235 0.500
Cl 0.769 0.765 0.500


5.
Computed, not measured: an optimized crystal structure of Ac3TlP2Pd9 at the PBE level of DFT.

Properties
**E_form**: -0.65 eV/atom
**Calculated volume**: 333.4 Å³ per cell
**Total moment**: 0.0 μB per cell
**Space group**: P-3m1 (164)
**Mass density**: 9.49 g/cm³

a = 7.285 Å, b = 7.285 Å, c = 7.256 Å
α = 90.00°, β = 90.00°, γ = 120.00°
Fractional coordinates of all 15 atoms:
Ac 0.000 0.000 0.000
Ac 0.333 0.667 0.671
Ac 0.667 0.333 0.329
Tl 0.000 0.000 0.500
P 0.333 0.667 0.127
P 0.667 0.333 0.873
Pd 0.000 0.500 0.000
Pd 0.190 0.380 0.327
Pd 0.190 0.810 0.327
Pd 0.380 0.190 0.673
Pd 0.500 0.000 0.000
Pd 0.500 0.500 0.000
Pd 0.620 0.810 0.327
Pd 0.810 0.190 0.673
Pd 0.810 0.620 0.673


6.
Computed, not measured: an optimized crystal structure of Ho4Tm5Tl at the PBE level of DFT.

Properties
**E_form**: -0.05 eV/atom
**Calculated volume**: 298.2 Å³ per cell
**Total moment**: 0.0 μB per cell
**Relative energy among the computed polymorphs**: 0.00 eV per formula unit
**Space group**: P4/mmm (123)
**Mass density**: 9.51 g/cm³

a = 3.518 Å, b = 3.518 Å, c = 24.099 Å
α = 90.00°, β = 90.00°, γ = 90.00°
Fractional coordinates of all 10 atoms:
Ho 0.000 0.000 0.103
Ho 0.000 0.000 0.309
Ho 0.000 0.000 0.691
Ho 0.000 0.000 0.897
Tm 0.500 0.500 0.000
Tm 0.500 0.500 0.206
Tm 0.500 0.500 0.411
Tm 0.500 0.500 0.589
Tm 0.500 0.500 0.794
Tl 0.000 0.000 0.500


7.
Computed, not measured: an optimized crystal structure of InRePb2 at the PBE level of DFT.

Properties
**E_form**: 0.57 eV/atom
**Calculated volume**: 215.7 Å³ per cell
**Total moment**: 0.8 μB per cell
**Relative energy among the computed polymorphs**: 0.24 eV per formula unit
**Space group**: Cm (8)
**Mass density**: 11.02 g/cm³

a = 10.248 Å, b = 3.110 Å, c = 7.275 Å
α = 90.00°, β = 111.54°, γ = 90.00°
Fractional coordinates of all 8 atoms:
In 0.000 0.000 0.000
In 0.500 0.500 0.000
Re 0.231 0.500 0.998
Re 0.731 0.000 0.998
Pb 0.169 0.000 0.646
Pb 0.345 0.000 0.354
Pb 0.669 0.500 0.646
Pb 0.845 0.500 0.354


8.
Computed, not measured: an optimized crystal structure of Th6CBr15 at the PBE level of DFT.

Properties
**Calculated volume**: 758.0 Å³ per cell
**Total moment**: 1.2 μB per cell
**E_form (uncorrected)**: -33.8 eV per formula unit
**Space group**: Im-3m (229)
**Mass density**: 5.70 g/cm³

a = 9.949 Å, b = 9.949 Å, c = 9.949 Å
α = 109.47°, β = 109.47°, γ = 109.47°
Fractional coordinates of all 22 atoms:
Th 0.000 0.232 0.232
Th 0.000 0.768 0.768
Th 0.232 0.000 0.232
Th 0.232 0.232 0.000
Th 0.768 0.000 0.768
Th 0.768 0.768 0.000
C 0.000 0.000 0.000
Br 0.000 0.252 0.748
Br 0.000 0.500 0.500
Br 0.000 0.748 0.252
Br 0.252 0.000 0.748
Br 0.252 0.252 0.505
Br 0.252 0.505 0.252
Br 0.252 0.748 0.000
Br 0.495 0.748 0.748
Br 0.500 0.000 0.500
Br 0.500 0.500 0.000
Br 0.505 0.252 0.252
Br 0.748 0.000 0.252
Br 0.748 0.252 0.000
Br 0.748 0.495 0.748
Br 0.748 0.748 0.495